Computed, not measured: crystalline ErPu2Th at its relaxed geometry at the PBE level of DFT.

Summary:
Total DFT energy (no corrections) ... -10.0019 eV/atom

Cell and atoms, written as extended XYZ:
```
4
Lattice="4.886 0.000 0.000 0.000 4.886 0.000 0.000 0.000 4.807" Properties=species:S:1:pos:R:3 pbc="T T T"
Er 0.000 0.000 0.000
Pu 0.000 2.443 2.403
Pu 2.443 0.000 2.403
Th 2.443 2.443 0.000
```

***

Computed, not measured: crystalline Sr2YTaHg at its relaxed geometry at the PBE level of DFT.

Summary:
Total DFT energy (no corrections) ... -3.3812 eV/atom

Cell and atoms, written as extended XYZ:
```
5
Lattice="5.838 0.000 0.000 0.000 5.838 0.000 0.000 0.000 5.406" Properties=species:S:1:pos:R:3 pbc="T T T"
Sr 0.000 2.919 0.000
Sr 2.919 0.000 0.000
Y 0.000 0.000 2.703
Ta 2.919 2.919 0.000
Hg 2.919 2.919 2.703
```

***

Computed, not measured: crystalline Nd2EuOs at its relaxed geometry at the PBE level of DFT.

Summary:
Total DFT energy (no corrections) ... -7.7322 eV/atom

Cell and atoms, written as extended XYZ:
```
4
Lattice="3.524 0.000 0.000 0.000 3.524 0.000 0.000 0.000 10.025" Properties=species:S:1:pos:R:3 pbc="T T T"
Nd 0.000 0.000 1.714
Nd 0.000 0.000 8.311
Eu 1.762 1.762 5.012
Os 1.762 1.762 0.000
```

***

Computed, not measured: crystalline La6Co2TeCl3 at its relaxed geometry at the PBE level of DFT.

Summary:
Formation energy from raw total energies ... -13.527 eV per formula unit

Cell and atoms, written as extended XYZ:
```
12
Lattice="9.182 -2.138 0.000 9.182 2.138 0.000 -2.163 0.000 8.720" Properties=species:S:1:pos:R:3 pbc="T T T"
La -0.041 0.000 2.376
La 4.908 0.000 3.773
La 3.972 0.000 7.616
La 12.229 0.000 1.104
La 11.294 0.000 4.947
La 16.243 0.000 6.344
Co 2.429 0.000 2.913
Co 13.773 0.000 5.806
Te 9.182 0.000 0.000
Cl 0.967 0.000 7.162
Cl 8.101 0.000 4.360
Cl 15.235 0.000 1.557
```

***

Computed, not measured: crystalline AcEuHg2 at its relaxed geometry at the PBE level of DFT.

Summary:
Total DFT energy (no corrections) ... -4.2790 eV/atom

Cell and atoms, written as extended XYZ:
```
4
Lattice="5.615 0.000 0.000 0.000 5.615 0.000 0.000 0.000 3.998" Properties=species:S:1:pos:R:3 pbc="T T T"
Ac 0.000 0.000 0.000
Eu 2.808 2.808 0.000
Hg 0.000 2.808 1.999
Hg 2.808 0.000 1.999
```

***

Computed, not measured: crystalline UTlGa2I8 at its relaxed geometry at the PBE level of DFT.

Summary:
Formation energy from raw total energies ... -7.021 eV per formula unit

Cell and atoms, written as extended XYZ:
```
12
Lattice="7.354 0.000 0.000 -0.097 7.959 0.000 -0.009 -0.010 9.742" Properties=species:S:1:pos:R:3 pbc="T T T"
U 0.000 0.000 0.000
Tl -0.004 -0.005 4.871
Ga 3.628 3.975 2.701
Ga 3.621 3.974 7.041
I 1.555 5.549 9.737
I 1.731 1.178 7.667
I 1.739 1.180 2.080
I 1.957 5.180 4.869
I 5.292 2.770 4.873
I 5.510 6.769 7.662
I 5.518 6.772 2.075
I 5.694 2.401 0.005
```

***

Computed, not measured: crystalline HoTc4P4 at its relaxed geometry at the PBE level of DFT.

Summary:
Total DFT energy (no corrections) ... -8.0856 eV/atom

Cell and atoms, written as extended XYZ:
```
18
Lattice="5.956 0.000 0.000 0.000 5.956 0.000 0.000 0.000 7.815" Properties=species:S:1:pos:R:3 pbc="T T T"
Ho 1.489 4.467 1.954
Ho 4.467 1.489 5.862
Tc 0.019 1.489 0.959
Tc 1.489 0.019 4.867
Tc 1.489 2.959 4.867
Tc 2.959 1.489 0.959
Tc 2.997 4.467 6.856
Tc 4.467 2.997 2.948
Tc 4.467 5.937 2.948
Tc 5.937 4.467 6.856
P 0.301 1.489 3.304
P 1.489 0.301 7.212
P 1.489 2.677 7.212
P 2.677 1.489 3.304
P 3.279 4.467 4.512
P 4.467 3.279 0.604
P 4.467 5.655 0.604
P 5.655 4.467 4.512
```

***

Computed, not measured: crystalline ReBi2Ru2 at its relaxed geometry at the PBE level of DFT.

Summary:
Total DFT energy (no corrections) ... -6.7475 eV/atom

Cell and atoms, written as extended XYZ:
```
5
Lattice="-1.723 1.723 8.759 1.723 -1.723 8.759 1.723 1.723 -8.759" Properties=species:S:1:pos:R:3 pbc="T T T"
Re 0.000 0.000 0.000
Bi 0.000 0.000 7.049
Bi 0.000 0.000 10.470
Ru 1.723 0.000 4.380
Ru 0.000 1.723 4.380
```

***

| no. | mass density (g/cm3) |
| --- | --- |
| 1 | 12.8 |
| 2 | 5.8 |
| 3 | 8.4 |
| 4 | 5.7 |
| 5 | 10.3 |
| 6 | 4.7 |
| 7 | 8.2 |
| 8 | 12.9 |